1.
Material: Cd2CoTc
Method: DFT, PBE
State: optimized geometry

- energy above the most stable polymorph in this dataset (meV/atom) = 324.8
- calculated density (kg/m3) = 9558

a b c (Å): 5.5865 8.7672 2.7319
angles (deg): 90.00 97.56 90.00
Last column: nearest neighbours and their distance in Å.
Space group C2/m (No. 12)
One atom of each set of equivalent atoms:
Cd 0.2500 0.2500 0.0000 [4 per cell]  4 Cd 2.73-2.79, 4 Co 2.85-3.02, 4 Tc 2.85-3.02
Co 0.0000 0.0000 0.5000 [2 per cell]  2 Co 2.73, 2 Tc 2.79, 8 Cd 2.85-3.02
Tc 0.0000 0.5000 0.5000 [2 per cell]  2 Tc 2.73, 2 Co 2.79, 8 Cd 2.85-3.02

***

2.
Material: CuAsN2O
Method: DFT, PBE
State: optimized geometry

- E_tot (eV per cell) = -24.93
- calculated density (kg/m3) = 5780

a b c (Å): 3.7676 3.7676 3.6933
angles (deg): 90.00 90.00 90.00
Last column: nearest neighbours and their distance in Å.
Space group P4/mmm (No. 123)
One atom of each set of equivalent atoms:
Cu 0.0000 0.0000 0.0000 [1 per cell]  8 N 2.64, 4 O 2.66
As 0.5000 0.5000 0.5000 [1 per cell]  2 O 1.85, 4 N 1.88
N 0.0000 0.5000 0.5000 [2 per cell]  2 As 1.88
O 0.5000 0.5000 0.0000 [1 per cell]  2 As 1.85

***

3.
Material: K2LaCu
Method: DFT, PBE
State: optimized geometry

- energy above the most stable polymorph in this dataset (meV/atom) = 337.0
- calculated density (kg/m3) = 2881

a b c (Å): 3.9009 3.9009 36.8264
angles (deg): 90.00 90.00 120.00
Last column: nearest neighbours and their distance in Å.
Space group R-3m (No. 166, hexagonal axes)
One atom of each set of equivalent atoms:
K 0.0000 0.0000 0.2297 [6 per cell]  3 Cu 3.23
La 0.0000 0.0000 0.0000 [3 per cell]  6 La 3.90
Cu 0.0000 0.0000 0.5000 [3 per cell]  6 K 3.23

***

4.
Material: CeSm6Er2Tm
Method: DFT, PBE
State: optimized geometry

- E_tot (eV per cell) = -90.75
- calculated density (kg/m3) = 7665

a b c (Å): 11.3342 6.9457 8.7895
angles (deg): 90.00 104.56 90.00
Last column: nearest neighbours and their distance in Å.
Space group C2/m (No. 12)
One atom of each set of equivalent atoms:
Ce 0.0000 0.0000 0.0000 [2 per cell]  6 Sm 3.47-3.59, 4 Er 3.81
Sm 0.1257 0.0000 0.4177 [4 per cell]  7 Sm 3.51-3.89, 1 Ce 3.59, 2 Tm 3.89
Sm 0.1715 0.2646 0.7981 [8 per cell]  2 Er 3.22-3.46, 2 Sm 3.27-3.55, 1 Tm 3.28, 1 Ce 3.47
Er 0.0899 0.5000 0.1685 [4 per cell]  1 Er 3.14, 4 Sm 3.22-3.46, 1 Tm 3.32
Tm 0.0000 0.5000 0.5000 [2 per cell]  4 Sm 3.28, 2 Er 3.32

***

5.
Material: LaBiBr2
Method: DFT, PBE
State: optimized geometry

- energy above the most stable polymorph in this dataset (meV/atom) = 189.8
- calculated density (kg/m3) = 7302

a b c (Å): 7.7298 7.7298 7.7298
angles (deg): 90.00 90.00 90.00
Last column: nearest neighbours and their distance in Å.
Space group Fm-3m (No. 225)
One atom of each set of equivalent atoms:
La 0.0000 0.0000 0.0000 [4 per cell]  8 Br 3.35
Bi 0.0000 0.0000 0.5000 [4 per cell]  8 Br 3.35
Br 0.2500 0.2500 0.2500 [8 per cell]  4 La 3.35, 4 Bi 3.35

***

6.
Material: Tl2ReI4F2
Method: DFT, PBE
State: optimized geometry

- E_tot (eV per cell) = -69.10
- calculated density (kg/m3) = 5619

a b c (Å): 11.9270 8.1796 7.0461
angles (deg): 90.00 101.29 90.00
Last column: nearest neighbours and their distance in Å.
Space group C2/m (No. 12)
One atom of each set of equivalent atoms:
Tl 0.1564 0.0000 0.3807 [4 per cell]  1 F 2.74
Re 0.0000 0.5000 0.5000 [2 per cell]  2 F 1.98
I 0.1055 0.2634 0.7495 [8 per cell]  1 Re 2.75
F 0.1350 0.5000 0.3745 [4 per cell]  1 Re 1.98

***

7.
Material: LaReAs
Method: DFT, PBE
State: optimized geometry

- energy above the most stable polymorph in this dataset (meV/atom) = 1398.3
- calculated density (kg/m3) = 8338

a b c (Å): 6.8304 6.8304 6.8304
angles (deg): 90.00 90.00 90.00
Last column: nearest neighbours and their distance in Å.
Space group F-43m (No. 216)
One atom of each set of equivalent atoms:
La 0.0000 0.0000 0.0000 [4 per cell]  4 Re 2.96, 4 As 2.96
Re 0.2500 0.2500 0.2500 [4 per cell]  4 La 2.96
As 0.2500 0.2500 0.7500 [4 per cell]  4 La 2.96

***

8.
Material: Ta2InNi
Method: DFT, PBE
State: optimized geometry

- E_tot (eV per cell) = -63.74
- calculated density (kg/m3) = 12875

a b c (Å): 10.2304 3.0610 4.8786
angles (deg): 90.00 115.31 90.00
Last column: nearest neighbours and their distance in Å.
Space group Cm (No. 8)
One atom of each set of equivalent atoms:
Ta 0.0000 0.0000 0.0000 [2 per cell]  4 Ni 2.79-2.99, 5 Ta 2.87-3.08, 3 In 3.08-3.10
Ta 0.2376 0.0000 0.7706 [2 per cell]  2 Ni 2.52
In 0.2876 0.5000 0.3172 [2 per cell]  2 Ni 2.68, 4 Ta 2.91-2.92
Ni 0.0248 0.5000 0.4980 [2 per cell]  4 Ta 2.52-2.79, 2 In 2.68